1.
# CsAg2BiIr PBE optimized geometry
data_CsAg2BiIr
_space_group_name_H-M_alt 'P 4/m m m'
_space_group_IT_number 123
_space_group_name_Hall '-P 4 2'
_cell_length_a 5.512
_cell_length_b 5.512
_cell_length_c 5.059
_cell_angle_alpha 90.00
_cell_angle_beta 90.00
_cell_angle_gamma 90.00
loop_
_atom_site_label
_atom_site_type_symbol
_atom_site_fract_x
_atom_site_fract_y
_atom_site_fract_z
Cs1 Cs 0.000 0.000 0.000
Ag1 Ag 0.000 0.500 0.500
Bi1 Bi 0.500 0.500 0.000
Ir1 Ir 0.500 0.500 0.500
# formation energy from the elements = 1.22 eV per formula unit
# total magnetic moment = 0.00 μB per formula unit
# final energy = -18.076 eV/cell

=====

2.
# CsK2AgBi PBE optimized geometry
data_CsK2AgBi
_space_group_name_H-M_alt 'P 4/m m m'
_space_group_IT_number 123
_space_group_name_Hall '-P 4 2'
_cell_length_a 6.923
_cell_length_b 6.923
_cell_length_c 5.664
_cell_angle_alpha 90.00
_cell_angle_beta 90.00
_cell_angle_gamma 90.00
loop_
_atom_site_label
_atom_site_type_symbol
_atom_site_fract_x
_atom_site_fract_y
_atom_site_fract_z
Cs1 Cs 0.000 0.000 0.000
K1 K 0.000 0.500 0.500
Ag1 Ag 0.500 0.500 0.000
Bi1 Bi 0.500 0.500 0.500
# formation energy from the elements = -0.34 eV per formula unit
# excess energy over the best structure of this formula in the dataset = 40 meV per atom
# total magnetic moment = 0.38 μB per formula unit
# final energy = -10.124 eV/cell

=====

3.
# CsK2AgBi PBE optimized geometry
data_CsK2AgBi
_space_group_name_H-M_alt 'P 4/m m m'
_space_group_IT_number 123
_space_group_name_Hall '-P 4 2'
_cell_length_a 6.525
_cell_length_b 6.525
_cell_length_c 5.635
_cell_angle_alpha 90.00
_cell_angle_beta 90.00
_cell_angle_gamma 90.00
loop_
_atom_site_label
_atom_site_type_symbol
_atom_site_fract_x
_atom_site_fract_y
_atom_site_fract_z
Cs1 Cs 0.000 0.000 0.000
K1 K 0.000 0.500 0.500
Ag1 Ag 0.500 0.500 0.500
Bi1 Bi 0.500 0.500 0.000
# formation energy from the elements = -0.54 eV per formula unit
# excess energy over the best structure of this formula in the dataset = 0 meV per atom
# total magnetic moment = 0.54 μB per formula unit
# final energy = -10.323 eV/cell

=====

4.
# Cs2NaAgBi2 PBE optimized geometry
data_Cs2NaAgBi2
_space_group_name_H-M_alt 'I b a m'
_space_group_IT_number 72
_space_group_name_Hall '-I 2 2c'
_cell_length_a 7.703
_cell_length_b 17.227
_cell_length_c 7.600
_cell_angle_alpha 90.00
_cell_angle_beta 90.00
_cell_angle_gamma 90.00
loop_
_atom_site_label
_atom_site_type_symbol
_atom_site_fract_x
_atom_site_fract_y
_atom_site_fract_z
Cs1 Cs 0.240 0.167 0.000
Na1 Na 0.000 0.000 0.250
Ag1 Ag 0.000 0.500 0.250
Bi1 Bi 0.212 0.414 0.000
# formation energy from the elements = -1.34 eV per formula unit
# total magnetic moment = 0.00 μB per formula unit
# final energy = -59.900 eV/cell

=====

5.
# Cs2AgBiO4 PBE optimized geometry
data_Cs2AgBiO4
_space_group_name_H-M_alt 'F d d d'
_space_group_IT_number 70
_cell_length_a 6.222
_cell_length_b 13.455
_cell_length_c 20.671
_cell_angle_alpha 90.00
_cell_angle_beta 90.00
_cell_angle_gamma 90.00
loop_
_space_group_symop_operation_xyz
'x,y,z'
'-x,-y,-z'
'-x+1/4,-y+1/4,z'
'x+1/4,y+1/4,-z'
'x,-y+1/4,-z+1/4'
'-x,y+1/4,z+1/4'
'-x+1/4,y,-z+1/4'
'x+1/4,-y,z+1/4'
'x,y+1/2,z+1/2'
'-x,-y+1/2,-z+1/2'
'-x+1/4,-y+3/4,z+1/2'
'x+1/4,y+3/4,-z+1/2'
'x,-y+3/4,-z+3/4'
'-x,y+3/4,z+3/4'
'-x+1/4,y+1/2,-z+3/4'
'x+1/4,-y+1/2,z+3/4'
'x+1/2,y,z+1/2'
'-x+1/2,-y,-z+1/2'
'-x+3/4,-y+1/4,z+1/2'
'x+3/4,y+1/4,-z+1/2'
'x+1/2,-y+1/4,-z+3/4'
'-x+1/2,y+1/4,z+3/4'
'-x+3/4,y,-z+3/4'
'x+3/4,-y,z+3/4'
'x+1/2,y+1/2,z'
'-x+1/2,-y+1/2,-z'
'-x+3/4,-y+3/4,z'
'x+3/4,y+3/4,-z'
'x+1/2,-y+3/4,-z+1/4'
'-x+1/2,y+3/4,z+1/4'
'-x+3/4,y+1/2,-z+1/4'
'x+3/4,-y+1/2,z+1/4'
loop_
_atom_site_label
_atom_site_type_symbol
_atom_site_fract_x
_atom_site_fract_y
_atom_site_fract_z
Cs1 Cs 0.125 0.125 0.303
Ag1 Ag 0.125 0.125 0.125
Bi1 Bi 0.125 0.125 0.625
O1 O 0.090 0.283 0.829
# formation energy (no corrections) = -6.65 eV/f.u.
# total magnetic moment = 0.00 μB per formula unit
# final energy = -279.360 eV/cell

=====

6.
# CsAgBiO3 PBE optimized geometry
data_CsAgBiO3
_space_group_name_H-M_alt 'P 63/m m c'
_space_group_IT_number 194
_space_group_name_Hall '-P 6c 2c'
_cell_length_a 6.6875
_cell_length_b 6.6875
_cell_length_c 6.4875
_cell_angle_alpha 90.00
_cell_angle_beta 90.00
_cell_angle_gamma 120.00
loop_
_atom_site_label
_atom_site_type_symbol
_atom_site_fract_x
_atom_site_fract_y
_atom_site_fract_z
Cs1 Cs 0.3333 0.6667 0.2500
Ag1 Ag 0.3333 0.6667 0.7500
Bi1 Bi 0.0000 0.0000 0.0000
O1 O 0.1411 0.2823 0.7500
# formation energy (no corrections) = -4.93 eV/f.u.
# total magnetic moment = 0.00 μB per formula unit
# final energy = -54.781 eV/cell

=====

> Which of these has the highest total magnetic moment?

number 3